Entry 1:
A plane-wave DFT calculation with GGA-PBEsol was carried out for crystalline TiHgNCl2 at its relaxed geometry.

Lattice parameters (Å, degrees): 5.3776 5.3776 3.6539 90.00 90.00 90.00
Sites, in units of the cell vectors:
Ti1 0.0000 0.0000 0.0000
Hg1 0.5000 0.5000 0.0000
N1 0.0000 0.0000 0.5000
Cl1 0.0000 0.5000 0.5000
Cl2 0.5000 0.0000 0.5000

Properties
Crystal system: tetragonal
Volume, Å³ per cell: 105.7
Formation energy without anion corrections, eV/f.u.: 0.57

=====

Entry 2:
A plane-wave DFT calculation with GGA-PBEsol was carried out for crystalline Zr2HgNCl at its relaxed geometry.

Lattice parameters (Å, degrees): 4.7675 4.7675 4.0575 90.00 90.00 90.00
Sites, in units of the cell vectors:
Zr1 0.0000 0.5000 0.0000
Zr2 0.5000 0.0000 0.0000
Hg1 0.0000 0.0000 0.5000
N1 0.5000 0.5000 0.5000
Cl1 0.5000 0.5000 0.0000

Properties
Crystal system: tetragonal
Volume, Å³ per cell: 92.2
Formation energy without anion corrections, eV/f.u.: 2.74

=====

Entry 3:
A plane-wave DFT calculation with GGA-PBEsol was carried out for crystalline NaHgCl2 at its relaxed geometry.

Lattice parameters (Å, degrees): 4.9952 4.9952 4.9952 60.00 60.00 60.00
Sites, in units of the cell vectors:
Na1 0.0000 0.0000 0.0000
Hg1 0.5000 0.5000 0.5000
Cl1 0.2500 0.2500 0.2500
Cl2 0.7500 0.7500 0.7500

Properties
Crystal system: cubic
Volume, Å³ per cell: 88.1
Formation energy without anion corrections, eV/f.u.: -3.32

=====

Entry 4:
A plane-wave DFT calculation with GGA-PBEsol was carried out for crystalline NaHgP2Cl at its relaxed geometry.

Lattice parameters (Å, degrees): 5.0190 5.0190 4.7943 90.00 90.00 90.00
Sites, in units of the cell vectors:
Na1 0.0000 0.0000 0.0000
Hg1 0.5000 0.5000 0.5000
P1 0.0000 0.5000 0.0000
P2 0.5000 0.0000 0.0000
Cl1 0.0000 0.0000 0.5000

Properties
Crystal system: tetragonal
Volume, Å³ per cell: 120.8
Formation energy without anion corrections, eV/f.u.: 4.60

=====

Entry 5:
A plane-wave DFT calculation with GGA-PBEsol was carried out for crystalline Na2TcHgCl at its relaxed geometry.

Lattice parameters (Å, degrees): 5.6058 5.6058 5.1443 90.00 90.00 90.00
Sites, in units of the cell vectors:
Na1 0.0000 0.5000 0.0000
Na2 0.5000 0.0000 0.0000
Tc1 0.0000 0.0000 0.5000
Hg1 0.0000 0.0000 0.0000
Cl1 0.5000 0.5000 0.5000

Properties
Crystal system: tetragonal
Volume, Å³ per cell: 161.7
Formation energy without anion corrections, eV/f.u.: 3.05

=====

Entry 6:
A plane-wave DFT calculation with GGA-PBEsol was carried out for crystalline NbHg2Cl at its relaxed geometry.

Lattice parameters (Å, degrees): 4.9489 4.9489 4.9489 60.00 60.00 60.00
Sites, in units of the cell vectors:
Nb1 0.0000 0.0000 0.0000
Hg1 0.2500 0.2500 0.2500
Hg2 0.7500 0.7500 0.7500
Cl1 0.5000 0.5000 0.5000

Properties
Crystal system: cubic
Volume, Å³ per cell: 85.7
Formation energy without anion corrections, eV/f.u.: 2.62

=====

Entry 7:
A plane-wave DFT calculation with GGA-PBEsol was carried out for crystalline NiHg2Cl at its relaxed geometry.

Lattice parameters (Å, degrees): 7.9715 7.9715 7.9715 24.65 24.65 24.65
Sites, in units of the cell vectors:
Ni1 0.0000 0.0000 0.0000
Hg1 0.2595 0.2595 0.2595
Hg2 0.7405 0.7405 0.7405
Cl1 0.5000 0.5000 0.5000

Properties
Crystal system: trigonal
Offset from the most stable computed form, meV per atom: 80.0
Volume, Å³ per cell: 77.5
Formation energy without anion corrections, eV/f.u.: 0.11

=====

Entry 8:
A plane-wave DFT calculation with GGA-PBEsol was carried out for crystalline NiHg2Cl at its relaxed geometry.

Lattice parameters (Å, degrees): 3.1383 6.5731 6.5731 36.32 90.00 90.00
Sites, in units of the cell vectors:
Ni1 0.0000 0.0000 0.0000
Hg1 0.0000 0.7918 0.7918
Hg2 0.5000 0.4480 0.4480
Cl1 0.5000 0.1370 0.1370

Properties
Crystal system: orthorhombic
Offset from the most stable computed form, meV per atom: 24.6
Volume, Å³ per cell: 80.3
Formation energy without anion corrections, eV/f.u.: -0.11

=====

Entry 9:
A plane-wave DFT calculation with GGA-PBEsol was carried out for crystalline NiHg2Cl at its relaxed geometry.

Lattice parameters (Å, degrees): 3.5757 3.5757 6.7750 90.00 90.00 90.00
Sites, in units of the cell vectors:
Ni1 0.0000 0.0000 0.0000
Hg1 0.0000 0.0000 0.6325
Hg2 0.5000 0.5000 0.9568
Cl1 0.5000 0.5000 0.4168

Properties
Crystal system: tetragonal
Offset from the most stable computed form, meV per atom: 204.6
Volume, Å³ per cell: 86.6
Formation energy without anion corrections, eV/f.u.: 0.61

=====

Entry 10:
A plane-wave DFT calculation with GGA-PBEsol was carried out for crystalline NiHg2Cl at its relaxed geometry.

Lattice parameters (Å, degrees): 8.3938 8.3938 8.3938 23.20 23.20 23.20
Sites, in units of the cell vectors:
Ni1 0.0000 0.0000 0.0000
Hg1 0.2588 0.2588 0.2588
Hg2 0.4945 0.4945 0.4945
Cl1 0.7142 0.7142 0.7142

Properties
Crystal system: trigonal
Offset from the most stable computed form, meV per atom: 0.0
Volume, Å³ per cell: 80.6
Formation energy without anion corrections, eV/f.u.: -0.21

=====

Entry 11:
A plane-wave DFT calculation with GGA-PBEsol was carried out for crystalline NiHg2Cl at its relaxed geometry.

Lattice parameters (Å, degrees): 5.4890 5.4890 5.4890 145.78 113.88 76.60
Sites, in units of the cell vectors:
Ni1 0.0000 0.0000 0.0000
Hg1 0.2290 0.7290 0.5000
Hg2 0.7710 0.2710 0.5000
Cl1 0.5000 0.5000 0.0000

Properties
Crystal system: orthorhombic
Offset from the most stable computed form, meV per atom: 267.7
Volume, Å³ per cell: 83.3
Formation energy without anion corrections, eV/f.u.: 0.86

=====

Entry 12:
A plane-wave DFT calculation with GGA-PBEsol was carried out for crystalline Hg5Cl2O4 at its relaxed geometry.

Lattice parameters (Å, degrees): 8.8231 8.8231 8.8231 139.67 98.04 95.62
Sites, in units of the cell vectors:
Hg1 0.0897 0.7500 0.3397
Hg2 0.1403 0.2138 0.3540
Hg3 0.2500 0.2500 0.0000
Hg4 0.3597 0.7138 0.0735
Hg5 0.4103 0.7500 0.6603
Hg6 0.5897 0.2500 0.3397
Hg7 0.6403 0.2862 0.9265
Hg8 0.7500 0.7500 0.0000
Hg9 0.8597 0.7862 0.6460
Hg10 0.9103 0.2500 0.6603
Cl1 0.1075 0.7272 0.8348
Cl2 0.3925 0.2272 0.6197
Cl3 0.6075 0.7728 0.3803
Cl4 0.8925 0.2728 0.1652
O1 0.0273 0.9797 0.6559
O2 0.1762 0.5203 0.0476
O3 0.3238 0.3714 0.3441
O4 0.4727 0.1286 0.9524
O5 0.5273 0.8714 0.0476
O6 0.6762 0.6286 0.6559
O7 0.8238 0.4797 0.9524
O8 0.9727 0.0203 0.3441

Properties
Crystal system: orthorhombic
Volume, Å³ per cell: 417.1
Formation energy without anion corrections, eV/f.u.: -4.29

=====

Entry 13:
A plane-wave DFT calculation with GGA-PBEsol was carried out for crystalline Hg2ClO at its relaxed geometry.

Lattice parameters (Å, degrees): 6.8591 6.8591 9.5056 103.32 103.32 61.28
Sites, in units of the cell vectors:
Hg1 0.0000 0.5000 0.5000
Hg2 0.1558 0.8442 0.7500
Hg3 0.2275 0.6980 0.1085
Hg4 0.3020 0.7725 0.3915
Hg5 0.5000 0.0000 0.0000
Hg6 0.6980 0.2275 0.6085
Hg7 0.7725 0.3020 0.8915
Hg8 0.8442 0.1558 0.2500
Cl1 0.2070 0.4568 0.8718
Cl2 0.4568 0.2070 0.3718
Cl3 0.5432 0.7930 0.6282
Cl4 0.7930 0.5432 0.1282
O1 0.0494 0.7757 0.5329
O2 0.2243 0.9506 0.9671
O3 0.7757 0.0494 0.0329
O4 0.9506 0.2243 0.4671

Properties
Crystal system: monoclinic
Volume, Å³ per cell: 377.9
Formation energy without anion corrections, eV/f.u.: -1.49

=====

| no. | density (kg/m3) |
| --- | --- |
| 1 | 5239 |
| 2 | 7787 |
| 3 | 5549 |
| 4 | 4413 |
| 5 | 3904 |
| 6 | 10260 |
| 7 | 10612 |
| 8 | 10241 |
| 9 | 9495 |
| 10 | 10208 |
| 11 | 9871 |
| 12 | 9059 |
| 13 | 7957 |